1.
Compound: VGaP2
Source: Alexandria via LeMat-Bulk
Functional: PBE
Structure: relaxed

## Properties
Fermi-level density of states = 3.37 states/eV/f.u.
Calculated density = 4.034 g/cm³
Total magnetization = 8.55 μB/cell
ΔE_f = 528 meV per atom

```
data_VGaP2
_cell_length_a 3.3291
_cell_length_b 3.3291
_cell_length_c 23.4960
_cell_angle_alpha 90.00
_cell_angle_beta 90.00
_cell_angle_gamma 120.00
_space_group_name_H-M_alt 'R -3 m'
_space_group_IT_number 166
_space_group_name_Hall '-R 3 2"'
loop_
_atom_site_label
_atom_site_type_symbol
_atom_site_fract_x
_atom_site_fract_y
_atom_site_fract_z
V1 V 0.0000 0.0000 0.0000
Ga1 Ga 0.0000 0.0000 0.5000
P1 P 0.0000 0.0000 0.1000
```


2.
Compound: VGaP3
Source: Alexandria via LeMat-Bulk
Functional: PBE
Structure: relaxed

## Properties
Fermi-level density of states = 4.20 states/eV/f.u.
Calculated density = 3.724 g/cm³
Total magnetization = 0.00 μB/cell
ΔE_f = 257 meV per atom
Energy above the lowest structure with this stoichiometry = 0 meV per atom

```
data_VGaP3
_cell_length_a 4.5667
_cell_length_b 4.5667
_cell_length_c 4.5667
_cell_angle_alpha 90.00
_cell_angle_beta 90.00
_cell_angle_gamma 90.00
_space_group_name_H-M_alt 'P m -3 m'
_space_group_IT_number 221
_space_group_name_Hall '-P 4 2 3'
loop_
_atom_site_label
_atom_site_type_symbol
_atom_site_fract_x
_atom_site_fract_y
_atom_site_fract_z
V1 V 0.0000 0.0000 0.0000
Ga1 Ga 0.5000 0.5000 0.5000
P1 P 0.0000 0.0000 0.5000
```


3.
Compound: V6Ga3P
Source: Alexandria via LeMat-Bulk
Functional: PBE
Structure: relaxed

## Properties
Fermi-level density of states = 6.14 states/eV/f.u.
Calculated density = 6.332 g/cm³
Total magnetization = 0.00 μB/cell
ΔE_f = -132 meV per atom

```
data_V6Ga3P
_cell_length_a 4.6807
_cell_length_b 7.2453
_cell_length_c 9.5982
_cell_angle_alpha 90.00
_cell_angle_beta 118.43
_cell_angle_gamma 90.00
_space_group_name_H-M_alt 'P 1 21/c 1'
_space_group_IT_number 14
loop_
_space_group_symop_operation_xyz
'x,y,z'
'-x,-y,-z'
'-x,y+1/2,-z+1/2'
'x,-y+1/2,z+1/2'
loop_
_atom_site_label
_atom_site_type_symbol
_atom_site_fract_x
_atom_site_fract_y
_atom_site_fract_z
V1 V 0.0041 0.1601 0.4487
V2 V 0.4064 0.6738 0.4455
V3 V 0.4341 0.0658 0.2595
Ga1 Ga 0.0000 0.0000 0.0000
Ga2 Ga 0.1123 0.1214 0.7543
P1 P 0.5000 0.0000 0.5000
```


4.
Compound: V7Ga2P2
Source: Alexandria via LeMat-Bulk
Functional: PBE
Structure: relaxed

## Properties
Fermi-level density of states = 9.62 states/eV/f.u.
Calculated density = 6.140 g/cm³
Total magnetization = 0.00 μB/cell
ΔE_f = -428 meV per atom

```
data_V7Ga2P2
_cell_length_a 3.2028
_cell_length_b 12.8162
_cell_length_c 7.3527
_cell_angle_alpha 90.00
_cell_angle_beta 90.00
_cell_angle_gamma 90.00
_space_group_name_H-M_alt 'I m m 2'
_space_group_IT_number 44
loop_
_space_group_symop_operation_xyz
'x,y,z'
'-x,-y,z'
'-x,y,z'
'x,-y,z'
'x+1/2,y+1/2,z+1/2'
'-x+1/2,-y+1/2,z+1/2'
'-x+1/2,y+1/2,z+1/2'
'x+1/2,-y+1/2,z+1/2'
loop_
_atom_site_label
_atom_site_type_symbol
_atom_site_fract_x
_atom_site_fract_y
_atom_site_fract_z
V1 V 0.0000 0.0000 0.0000
V2 V 0.0000 0.1427 0.3949
V3 V 0.0000 0.3267 0.6267
V4 V 0.0000 0.3406 0.1988
Ga1 Ga 0.0000 0.0000 0.6416
Ga2 Ga 0.0000 0.5000 0.7890
P1 P 0.0000 0.2200 0.9132
```


5.
Compound: V12Ga3P
Source: Alexandria via LeMat-Bulk
Functional: PBE
Structure: relaxed

## Properties
Fermi-level density of states = 29.95 states/eV/f.u.
Calculated density = 6.622 g/cm³
Total magnetization = 0.00 μB/cell
ΔE_f = -282 meV per atom

```
data_V12Ga3P
_cell_length_a 4.7250
_cell_length_b 4.7334
_cell_length_c 9.5466
_cell_angle_alpha 90.00
_cell_angle_beta 90.00
_cell_angle_gamma 90.00
_space_group_name_H-M_alt 'P m m m'
_space_group_IT_number 47
loop_
_space_group_symop_operation_xyz
'x,y,z'
'-x,-y,-z'
'-x,-y,z'
'x,y,-z'
'x,-y,-z'
'-x,y,z'
'-x,y,-z'
'x,-y,z'
loop_
_atom_site_label
_atom_site_type_symbol
_atom_site_fract_x
_atom_site_fract_y
_atom_site_fract_z
V1 V 0.0000 0.0000 0.1204
V2 V 0.0000 0.0000 0.3757
V3 V 0.2467 0.5000 0.5000
V4 V 0.2571 0.5000 0.0000
V5 V 0.5000 0.2413 0.2410
Ga1 Ga 0.0000 0.5000 0.2490
Ga2 Ga 0.5000 0.0000 0.5000
P1 P 0.5000 0.0000 0.0000
```


6.
Compound: VGaP2
Source: Alexandria via LeMat-Bulk
Functional: PBE
Structure: relaxed

## Properties
Fermi-level density of states = 1.91 states/eV/f.u.
Calculated density = 3.641 g/cm³
Total magnetization = 7.98 μB/cell
ΔE_f = -157 meV per atom

```
data_VGaP2
_cell_length_a 5.4950
_cell_length_b 5.4950
_cell_length_c 11.0320
_cell_angle_alpha 90.00
_cell_angle_beta 90.00
_cell_angle_gamma 90.00
_space_group_name_H-M_alt 'I -4 2 d'
_space_group_IT_number 122
_space_group_name_Hall 'I -4 2bw'
loop_
_atom_site_label
_atom_site_type_symbol
_atom_site_fract_x
_atom_site_fract_y
_atom_site_fract_z
V1 V 0.0000 0.0000 0.0000
Ga1 Ga 0.0000 0.0000 0.5000
P1 P 0.2444 0.2500 0.1250
```